(1)
Density functional theory data (PBE) for an optimized crystal structure of KTaHg.

Geometry as POSCAR:
```
KTaHg
1.0
-2.596 -9.819 -3.833
2.858 -0.450 -0.783
1.737 -3.785 8.520
Hg Ta K
4 4 4
direct
0.284 0.750 0.662 Hg
0.784 0.750 0.838 Hg
0.716 0.250 0.338 Hg
0.216 0.250 0.162 Hg
0.899 0.750 0.532 Ta
0.601 0.250 0.032 Ta
0.101 0.250 0.468 Ta
0.399 0.750 0.968 Ta
0.933 0.750 0.160 K
0.433 0.750 0.340 K
0.567 0.250 0.660 K
0.067 0.250 0.840 K
```

Output
Size of the total moment: 0.0 μB per formula unit
Theoretical density: 9.1 g/cm³
D(E_F): 9.0 states/eV per cell
DFT formation energy: 537 meV per atom



(2)
Density functional theory data (PBE) for an optimized crystal structure of Zn4InCl.

Geometry as POSCAR:
```
Zn4InCl
1.0
0.000 3.851 3.851
3.851 0.000 3.851
3.851 3.851 0.000
Zn Cl In
4 1 1
direct
0.374 0.374 0.877 Zn
0.374 0.374 0.374 Zn
0.877 0.374 0.374 Zn
0.374 0.877 0.374 Zn
0.750 0.750 0.750 Cl
0.000 0.000 0.000 In
```

Output
Size of the total moment: 0.0 μB per formula unit
Energy relative to the elements, uncorrected: 21 meV per atom
Theoretical density: 6.0 g/cm³
D(E_F): 1.3 states/eV per cell



(3)
Density functional theory data (PBE) for an optimized crystal structure of LiDyZrMn.

Geometry as POSCAR:
```
LiDyZrMn
1.0
4.768 0.000 0.000
2.384 4.129 0.000
2.384 1.376 3.893
Zr Li Dy Mn
1 1 1 1
direct
0.750 0.750 0.750 Zr
0.000 0.000 0.000 Li
0.250 0.250 0.250 Dy
0.500 0.500 0.500 Mn
```

Output
Size of the total moment: 1.2 μB per formula unit
Theoretical density: 6.8 g/cm³
D(E_F): 3.9 states/eV per cell
DFT formation energy: 145 meV per atom



(4)
Density functional theory data (PBE) for an optimized crystal structure of Pr5SmHo2.

Geometry as POSCAR:
```
Pr5SmHo2
1.0
-4.142 1.321 2.796
0.788 -6.044 4.022
8.597 7.298 9.286
Pr Ho Sm
10 4 2
direct
0.500 0.751 0.624 Pr
0.500 0.251 0.876 Pr
0.000 0.000 0.000 Pr
0.000 0.001 0.749 Pr
0.000 0.501 0.751 Pr
0.500 0.749 0.124 Pr
0.000 0.500 0.500 Pr
0.000 0.499 0.249 Pr
0.000 0.999 0.251 Pr
0.500 0.249 0.376 Pr
0.500 0.750 0.376 Ho
0.500 0.250 0.624 Ho
0.500 0.750 0.876 Ho
0.500 0.250 0.124 Ho
0.000 0.000 0.500 Sm
0.000 0.500 0.000 Sm
```

Output
Size of the total moment: 0.0 μB per formula unit
Theoretical density: 7.1 g/cm³
D(E_F): 22.8 states/eV per cell
DFT formation energy: 13 meV per atom



(5)
Density functional theory data (PBE) for an optimized crystal structure of Er2AlHg2.

Geometry as POSCAR:
```
Er2AlHg2
1.0
6.061 0.000 0.000
0.000 6.596 0.000
-3.030 -3.298 6.456
Hg Al Er
4 2 4
direct
0.118 0.864 0.235 Hg
0.382 0.628 0.765 Hg
0.618 0.372 0.235 Hg
0.882 0.136 0.765 Hg
0.750 0.500 0.000 Al
0.250 0.500 0.000 Al
0.151 0.352 0.303 Er
0.849 0.648 0.697 Er
0.349 0.049 0.697 Er
0.651 0.951 0.303 Er
```

Output
Size of the total moment: 0.0 μB per formula unit
Theoretical density: 9.8 g/cm³
D(E_F): 4.7 states/eV per cell
DFT formation energy: -290 meV per atom



(6)
Density functional theory data (PBE) for an optimized crystal structure of NbIn2SbRh.

Geometry as POSCAR:
```
NbIn2SbRh
1.0
5.336 0.000 0.000
0.000 5.219 0.000
0.000 0.000 5.336
Sb Nb In Rh
1 1 2 1
direct
0.000 0.500 0.000 Sb
0.000 0.000 0.000 Nb
0.000 0.000 0.500 In
0.500 0.000 0.000 In
0.500 0.500 0.500 Rh
```

Output
Size of the total moment: 1.5 μB per formula unit
Energy relative to the elements, uncorrected: 987 meV per atom
Theoretical density: 6.1 g/cm³
D(E_F): 7.1 states/eV per cell



(7)
Density functional theory data (PBE) for an optimized crystal structure of Tb12PmNd6.

Geometry as POSCAR:
```
Tb12PmNd6
1.0
8.486 1.304 1.562
0.002 8.585 1.562
0.002 0.003 8.726
Tb Nd Pm
12 6 1
direct
0.137 0.137 0.484 Tb
0.863 0.516 0.863 Tb
0.863 0.863 0.516 Tb
0.484 0.137 0.137 Tb
0.137 0.484 0.137 Tb
0.516 0.863 0.863 Tb
0.516 0.197 0.515 Tb
0.803 0.485 0.484 Tb
0.485 0.484 0.803 Tb
0.197 0.515 0.516 Tb
0.484 0.803 0.485 Tb
0.515 0.516 0.197 Tb
0.164 0.769 0.770 Nd
0.769 0.770 0.164 Nd
0.836 0.231 0.230 Nd
0.231 0.230 0.836 Nd
0.770 0.164 0.769 Nd
0.230 0.836 0.231 Nd
0.000 0.000 0.000 Pm
```

Output
Size of the total moment: 0.0 μB per formula unit
Theoretical density: 7.6 g/cm³
D(E_F): 29.9 states/eV per cell
DFT formation energy: 116 meV per atom



(8)
Density functional theory data (PBE) for an optimized crystal structure of Nb2CrPd.

Geometry as POSCAR:
```
Nb2CrPd
1.0
-2.912 0.782 0.404
-0.245 -2.061 2.225
1.922 4.766 4.627
Nb Cr Pd
2 1 1
direct
0.000 0.000 0.221 Nb
0.000 0.000 0.779 Nb
0.500 0.500 0.000 Cr
0.500 0.500 0.500 Pd
```

Output
Size of the total moment: 0.0 μB per formula unit
Theoretical density: 8.9 g/cm³
D(E_F): 3.4 states/eV per cell
DFT formation energy: -87 meV per atom



(9)
Density functional theory data (PBE) for an optimized crystal structure of Zn2SnPb.

Geometry as POSCAR:
```
Zn2SnPb
1.0
-0.578 4.252 -0.042
-2.331 1.879 3.074
4.177 2.777 4.465
Zn Sn Pb
2 1 1
direct
0.240 0.240 0.281 Zn
0.094 0.094 0.717 Zn
0.497 0.497 0.509 Sn
0.669 0.669 0.992 Pb
```

Output
Size of the total moment: 0.0 μB per formula unit
Theoretical density: 7.6 g/cm³
D(E_F): 1.3 states/eV per cell
DFT formation energy: 140 meV per atom



(10)
Density functional theory data (PBE) for an optimized crystal structure of La2Pm5Y6.

Geometry as POSCAR:
```
La2Pm5Y6
1.0
-3.182 -0.178 -1.732
5.618 -3.109 -10.003
-1.733 -19.961 5.231
Pm Y La
10 12 4
direct
0.500 0.703 0.551 Pm
0.500 0.592 0.280 Pm
0.500 0.203 0.949 Pm
0.500 0.797 0.051 Pm
0.500 0.000 0.500 Pm
0.500 0.408 0.720 Pm
0.500 0.500 0.000 Pm
0.500 0.297 0.449 Pm
0.500 0.908 0.780 Pm
0.500 0.092 0.220 Pm
0.500 0.818 0.375 Y
0.000 0.077 0.364 Y
0.000 0.559 0.423 Y
0.500 0.682 0.875 Y
0.000 0.577 0.136 Y
0.000 0.423 0.864 Y
0.000 0.441 0.577 Y
0.000 0.941 0.923 Y
0.000 0.923 0.636 Y
0.500 0.182 0.625 Y
0.500 0.318 0.125 Y
0.000 0.059 0.077 Y
0.000 0.832 0.219 La
0.000 0.668 0.719 La
0.000 0.168 0.781 La
0.000 0.332 0.281 La
```

Output
Size of the total moment: 0.0 μB per formula unit
Theoretical density: 5.7 g/cm³
D(E_F): 37.9 states/eV per cell
DFT formation energy: 93 meV per atom



(11)
Density functional theory data (PBE) for an optimized crystal structure of Dy12Sb3H5.

Geometry as POSCAR:
```
Dy12Sb3H5
1.0
-13.272 0.705 2.277
6.507 -1.361 11.732
4.112 11.280 -6.139
Dy H Sb
48 20 12
direct
0.206 0.512 0.610 Dy
0.890 0.596 0.903 Dy
0.794 0.306 0.904 Dy
0.194 0.096 0.706 Dy
0.794 0.488 0.390 Dy
0.806 0.903 0.012 Dy
0.110 0.706 0.512 Dy
0.694 0.206 0.596 Dy
0.596 0.890 0.403 Dy
0.890 0.294 0.488 Dy
0.403 0.012 0.306 Dy
0.096 0.903 0.390 Dy
0.294 0.404 0.806 Dy
0.488 0.694 0.097 Dy
0.403 0.390 0.596 Dy
0.512 0.306 0.903 Dy
0.488 0.794 0.890 Dy
0.096 0.194 0.206 Dy
0.294 0.890 0.988 Dy
0.706 0.110 0.012 Dy
0.597 0.988 0.694 Dy
0.806 0.904 0.294 Dy
0.512 0.206 0.110 Dy
0.706 0.596 0.194 Dy
0.097 0.194 0.488 Dy
0.904 0.097 0.610 Dy
0.904 0.806 0.794 Dy
0.306 0.794 0.404 Dy
0.404 0.294 0.306 Dy
0.390 0.988 0.794 Dy
0.306 0.512 0.403 Dy
0.903 0.806 0.512 Dy
0.110 0.404 0.097 Dy
0.597 0.610 0.404 Dy
0.194 0.097 0.988 Dy
0.097 0.904 0.110 Dy
0.404 0.110 0.597 Dy
0.610 0.012 0.206 Dy
0.988 0.390 0.294 Dy
0.903 0.096 0.890 Dy
0.596 0.706 0.694 Dy
0.610 0.597 0.904 Dy
0.390 0.403 0.096 Dy
0.012 0.610 0.706 Dy
0.988 0.597 0.194 Dy
0.012 0.403 0.806 Dy
0.694 0.488 0.597 Dy
0.206 0.694 0.096 Dy
0.500 0.500 0.000 H
0.250 0.875 0.125 H
0.000 0.500 0.500 H
0.500 0.000 0.500 H
0.750 0.625 0.375 H
0.375 0.125 0.750 H
0.625 0.875 0.250 H
0.750 0.125 0.875 H
0.125 0.375 0.250 H
0.000 0.000 0.500 H
0.875 0.625 0.750 H
0.000 0.500 0.000 H
0.875 0.250 0.625 H
0.375 0.250 0.125 H
0.500 0.000 0.000 H
0.000 0.000 0.000 H
0.500 0.500 0.500 H
0.625 0.750 0.875 H
0.125 0.750 0.375 H
0.250 0.375 0.625 H
0.250 0.125 0.375 Sb
0.875 0.750 0.125 Sb
0.250 0.625 0.875 Sb
0.375 0.750 0.625 Sb
0.625 0.250 0.375 Sb
0.750 0.375 0.125 Sb
0.375 0.625 0.250 Sb
0.750 0.875 0.625 Sb
0.125 0.875 0.750 Sb
0.125 0.250 0.875 Sb
0.625 0.375 0.750 Sb
0.875 0.125 0.250 Sb
```

Output
Size of the total moment: 0.0 μB per formula unit
Uncorrected energy: -4.640 eV/atom
Theoretical density: 8.2 g/cm³
D(E_F): 59.5 states/eV per cell



(12)
Density functional theory data (PBE) for an optimized crystal structure of MnNi6Pt.

Geometry as POSCAR:
```
MnNi6Pt
1.0
3.608 0.000 0.000
0.000 5.131 -0.033
0.000 0.032 5.131
Mn Ni Pt
1 6 1
direct
0.500 0.000 0.000 Mn
0.000 0.753 0.753 Ni
0.000 0.247 0.247 Ni
0.500 0.500 0.000 Ni
0.500 0.000 0.500 Ni
0.000 0.753 0.247 Ni
0.000 0.247 0.753 Ni
0.500 0.500 0.500 Pt
```

Output
Size of the total moment: 8.0 μB per formula unit
Theoretical density: 10.5 g/cm³
D(E_F): 12.1 states/eV per cell
DFT formation energy: -65 meV per atom



(13)
Density functional theory data (PBE) for an optimized crystal structure of MgFe2Pb.

Geometry as POSCAR:
```
MgFe2Pb
1.0
5.311 -0.009 0.001
2.353 4.761 -0.001
-3.435 -3.016 2.704
Mg Pb Fe
1 1 2
direct
0.489 0.489 0.000 Mg
0.768 0.268 0.500 Pb
0.214 0.714 0.500 Fe
0.029 0.029 0.000 Fe
```

Output
Size of the total moment: 4.7 μB per formula unit
Theoretical density: 8.3 g/cm³
D(E_F): 2.4 states/eV per cell
DFT formation energy: 312 meV per atom



(14)
Density functional theory data (PBE) for an optimized crystal structure of La2MnIrSe.

Geometry as POSCAR:
```
La2MnIrSe
1.0
-4.897 -2.669 -0.585
2.120 -3.838 -0.233
-0.369 -0.542 5.570
Mn Se Ir La
1 1 1 2
direct
0.000 0.500 0.000 Mn
0.000 0.000 0.000 Se
0.500 0.500 0.500 Ir
0.000 0.000 0.500 La
0.500 0.000 0.000 La
```

Output
Size of the total moment: 2.9 μB per formula unit
Energy relative to the elements, uncorrected: -70 meV per atom
Theoretical density: 7.3 g/cm³
D(E_F): 3.7 states/eV per cell



(15)
Density functional theory data (PBE) for an optimized crystal structure of K2LiPaSe4.

Geometry as POSCAR:
```
K2LiPaSe4
1.0
-0.187 -3.492 2.515
-2.398 -3.814 -5.472
7.933 -0.468 -0.061
K Li Se Pa
2 1 4 1
direct
0.000 0.500 0.500 K
0.500 0.000 0.500 K
0.500 0.500 0.000 Li
0.000 0.752 0.200 Se
0.500 0.772 0.802 Se
0.000 0.248 0.800 Se
0.500 0.228 0.198 Se
0.000 0.000 0.000 Pa
```

Output
Size of the total moment: 0.0 μB per formula unit
Energy relative to the elements, uncorrected: -1347 meV per atom
Theoretical density: 4.5 g/cm³



(16)
Density functional theory data (PBE) for an optimized crystal structure of LaEuLuCd.

Geometry as POSCAR:
```
LaEuLuCd
1.0
-0.560 -0.942 5.521
2.973 -4.090 2.473
4.196 1.303 3.517
Lu Eu Cd La
1 1 1 1
direct
0.750 0.750 0.750 Lu
0.500 0.500 0.500 Eu
0.250 0.250 0.250 Cd
0.000 0.000 0.000 La
```

Output
Size of the total moment: 7.2 μB per formula unit
Theoretical density: 7.6 g/cm³
D(E_F): 5.2 states/eV per cell
DFT formation energy: -35 meV per atom



(17)
Density functional theory data (PBE) for an optimized crystal structure of Ac12Pb3O5.

Geometry as POSCAR:
```
Ac12Pb3O5
1.0
15.043 0.000 0.000
-5.014 14.182 0.000
-5.014 -7.091 12.282
Ac Pb O
48 12 20
direct
0.802 0.312 0.911 Ac
0.802 0.491 0.391 Ac
0.109 0.698 0.509 Ac
0.302 0.891 0.991 Ac
0.698 0.109 0.009 Ac
0.812 0.911 0.302 Ac
0.312 0.509 0.401 Ac
0.599 0.991 0.688 Ac
0.009 0.609 0.698 Ac
0.688 0.198 0.589 Ac
0.188 0.089 0.698 Ac
0.698 0.589 0.188 Ac
0.599 0.609 0.411 Ac
0.589 0.698 0.688 Ac
0.491 0.802 0.891 Ac
0.509 0.198 0.109 Ac
0.391 0.401 0.089 Ac
0.312 0.802 0.411 Ac
0.411 0.109 0.599 Ac
0.891 0.302 0.491 Ac
0.401 0.009 0.312 Ac
0.089 0.188 0.198 Ac
0.491 0.688 0.099 Ac
0.411 0.302 0.312 Ac
0.509 0.312 0.901 Ac
0.609 0.009 0.198 Ac
0.302 0.411 0.812 Ac
0.891 0.589 0.901 Ac
0.688 0.491 0.599 Ac
0.401 0.391 0.589 Ac
0.009 0.401 0.812 Ac
0.391 0.991 0.802 Ac
0.991 0.391 0.302 Ac
0.198 0.509 0.609 Ac
0.099 0.188 0.491 Ac
0.198 0.688 0.089 Ac
0.991 0.599 0.188 Ac
0.911 0.099 0.609 Ac
0.901 0.812 0.509 Ac
0.609 0.599 0.911 Ac
0.911 0.812 0.802 Ac
0.109 0.411 0.099 Ac
0.099 0.911 0.109 Ac
0.089 0.901 0.391 Ac
0.812 0.901 0.009 Ac
0.589 0.891 0.401 Ac
0.188 0.099 0.991 Ac
0.901 0.089 0.891 Ac
0.250 0.125 0.375 Pb
0.375 0.750 0.625 Pb
0.875 0.125 0.250 Pb
0.750 0.875 0.625 Pb
0.125 0.875 0.750 Pb
0.875 0.750 0.125 Pb
0.625 0.375 0.750 Pb
0.250 0.625 0.875 Pb
0.375 0.625 0.250 Pb
0.125 0.250 0.875 Pb
0.625 0.250 0.375 Pb
0.750 0.375 0.125 Pb
0.500 0.000 0.500 O
0.500 0.500 0.500 O
0.875 0.625 0.750 O
0.125 0.750 0.375 O
0.625 0.750 0.875 O
0.250 0.375 0.625 O
0.500 0.500 0.000 O
0.000 0.500 0.000 O
0.625 0.875 0.250 O
0.500 0.000 0.000 O
0.875 0.250 0.625 O
0.750 0.625 0.375 O
0.375 0.250 0.125 O
0.375 0.125 0.750 O
0.000 0.000 0.500 O
0.000 0.000 0.000 O
0.125 0.375 0.250 O
0.000 0.500 0.500 O
0.750 0.125 0.875 O
0.250 0.875 0.125 O
```

Output
Size of the total moment: 0.1 μB per formula unit
Energy relative to the elements, uncorrected: -1454 meV per atom
Theoretical density: 8.7 g/cm³
D(E_F): 90.0 states/eV per cell